Tb12PrSc7 | PBE-GGA | relaxed Values from VASP.

Computed properties:
- Energy of formation: 0.6582 eV per atom
- Relative energy among the computed polymorphs: 0.405 eV per atom
- Space group: No. 204

The structure in Quantum ESPRESSO input format:
```
&SYSTEM
  ibrav = 0, nat = 20, ntyp = 3
/
ATOMIC_SPECIES
Sc 44.96 Sc.upf
Pr 140.91 Pr.upf
Tb 158.93 Tb.upf
CELL_PARAMETERS angstrom
1.8680 -9.2333 -1.5804
4.9755 3.0029 7.5807
-9.3375 1.1184 1.6736
ATOMIC_POSITIONS crystal
Sc 0.5000 0.5000 0.0000
Pr 0.0000 0.0000 0.0000
Tb 0.2657 0.2683 0.5340
Sc 0.5000 0.0000 0.5000
Tb 0.7317 0.4660 0.7343
Tb 0.7317 0.9975 0.2657
Tb 0.2683 0.0025 0.7343
Tb 0.0025 0.7343 0.2683
Tb 0.4660 0.7343 0.7317
Tb 0.9975 0.2657 0.7317
Tb 0.7343 0.7317 0.4660
Sc 0.0000 0.0000 0.5000
Sc 0.0000 0.5000 0.5000
Tb 0.2657 0.7317 0.9975
Tb 0.2683 0.5340 0.2657
Tb 0.7343 0.2683 0.0025
Sc 0.5000 0.5000 0.5000
Sc 0.5000 0.0000 0.0000
Sc 0.0000 0.5000 0.0000
Tb 0.5340 0.2657 0.2683
```

=====

Tb12Pr3Sc | PBE-GGA | relaxed Values from VASP.

Computed properties:
- Energy of formation: 0.0266 eV per atom
- Space group: No. 123

The structure in Quantum ESPRESSO input format:
```
&SYSTEM
  ibrav = 0, nat = 16, ntyp = 3
/
ATOMIC_SPECIES
Tb 158.93 Tb.upf
Pr 140.91 Pr.upf
Sc 44.96 Sc.upf
CELL_PARAMETERS angstrom
5.0570 0.0000 0.0000
0.0000 5.0570 0.0000
0.0000 0.0000 20.1781
ATOMIC_POSITIONS crystal
Tb 0.5000 0.0000 0.1191
Tb 0.5000 0.0000 0.8809
Tb 0.0000 0.5000 0.8809
Tb 0.5000 0.5000 0.0000
Pr 0.0000 0.0000 0.7529
Tb 0.5000 0.0000 0.6269
Tb 0.0000 0.5000 0.3731
Tb 0.5000 0.5000 0.2457
Tb 0.5000 0.5000 0.7543
Tb 0.0000 0.5000 0.6269
Pr 0.0000 0.0000 0.2471
Tb 0.5000 0.5000 0.5000
Tb 0.5000 0.0000 0.3731
Pr 0.0000 0.0000 0.5000
Tb 0.0000 0.5000 0.1191
Sc 0.0000 0.0000 0.0000
```

=====

Tb4Pr4Sc | PBE-GGA | relaxed Values from VASP.

Computed properties:
- Energy of formation: 0.0377 eV per atom
- Space group: No. 139

The structure in Quantum ESPRESSO input format:
```
&SYSTEM
  ibrav = 0, nat = 9, ntyp = 3
/
ATOMIC_SPECIES
Pr 140.91 Pr.upf
Tb 158.93 Tb.upf
Sc 44.96 Sc.upf
CELL_PARAMETERS angstrom
5.1013 0.0000 0.0000
2.5506 7.6353 0.0000
2.5506 0.0000 7.6353
ATOMIC_POSITIONS crystal
Pr 0.3281 0.6719 0.6718
Tb 0.6635 0.6730 0.0000
Sc 0.0000 0.0000 0.0000
Tb 0.3365 0.0000 0.3270
Pr 0.0000 0.6718 0.3281
Pr 0.0000 0.3282 0.6719
Tb 0.6635 0.0000 0.6730
Pr 0.6719 0.3281 0.3282
Tb 0.3365 0.3270 0.0000
```

=====

TbPr6Sc | PBE-GGA | relaxed Values from VASP.

Computed properties:
- Energy of formation: 0.0277 eV per atom
- Space group: No. 123

The structure in Quantum ESPRESSO input format:
```
&SYSTEM
  ibrav = 0, nat = 8, ntyp = 3
/
ATOMIC_SPECIES
Pr 140.91 Pr.upf
Tb 158.93 Tb.upf
Sc 44.96 Sc.upf
CELL_PARAMETERS angstrom
5.1403 0.0000 0.0000
0.0000 5.1403 0.0000
0.0000 0.0000 10.2946
ATOMIC_POSITIONS crystal
Pr 0.0000 0.5000 0.2549
Pr 0.5000 0.0000 0.7451
Pr 0.5000 0.0000 0.2549
Pr 0.5000 0.5000 0.5000
Tb 0.0000 0.0000 0.0000
Pr 0.0000 0.5000 0.7451
Sc 0.0000 0.0000 0.5000
Pr 0.5000 0.5000 0.0000
```

=====

TbPr10Sc4 | PBE-GGA | relaxed Values from VASP.

Computed properties:
- Energy of formation: 0.5116 eV per atom
- Space group: No. 87

The structure in Quantum ESPRESSO input format:
```
&SYSTEM
  ibrav = 0, nat = 15, ntyp = 3
/
ATOMIC_SPECIES
Pr 140.91 Pr.upf
Sc 44.96 Sc.upf
Tb 158.93 Tb.upf
CELL_PARAMETERS angstrom
-4.0576 4.8002 5.1920
-8.1859 2.7789 -2.5661
-5.3096 -4.0903 6.0328
ATOMIC_POSITIONS crystal
Pr 0.9659 0.1176 0.3462
Sc 0.7080 0.7245 0.8596
Pr 0.0835 0.3462 0.8824
Pr 0.7500 0.5000 0.5000
Pr 0.0341 0.8824 0.6538
Pr 0.9165 0.6538 0.1176
Sc 0.2920 0.2755 0.1404
Sc 0.5676 0.1404 0.7245
Pr 0.5703 0.1176 0.3462
Pr 0.6879 0.3462 0.8824
Pr 0.4297 0.8824 0.6538
Pr 0.2500 0.5000 0.5000
Tb 0.0000 0.0000 0.0000
Pr 0.3121 0.6538 0.1176
Sc 0.4324 0.8596 0.2755
```

=====

Tb3PrSc | PBE-GGA | relaxed Values from VASP.

Computed properties:
- Energy of formation: 0.0350 eV per atom
- Relative energy among the computed polymorphs: 0.000 eV per atom
- Space group: No. 2

The structure in Quantum ESPRESSO input format:
```
&SYSTEM
  ibrav = 0, nat = 10, ntyp = 3
/
ATOMIC_SPECIES
Tb 158.93 Tb.upf
Pr 140.91 Pr.upf
Sc 44.96 Sc.upf
CELL_PARAMETERS angstrom
5.9665 -0.9646 -1.4825
-2.8597 8.2135 -3.8568
-1.4660 -1.4054 8.1507
ATOMIC_POSITIONS crystal
Tb 0.7322 0.5535 0.2504
Pr 0.5293 0.1524 0.2490
Tb 0.3400 0.7536 0.2525
Pr 0.4707 0.8476 0.7510
Tb 0.1338 0.3426 0.2419
Tb 0.6600 0.2464 0.7475
Sc 0.0643 0.0505 0.7402
Tb 0.2678 0.4465 0.7496
Sc 0.9357 0.9495 0.2598
Tb 0.8662 0.6574 0.7581
```

=====

Here are the calculated DFT total energy numbers, same order: -0.1681; -0.1741; -0.1782; -0.1811; -0.1717; -0.1825 (hartree per atom).